No. 1
A geometry-optimized Dy3Y2Tm2Ni2Te2 structure. Source: OQMD via LeMat-Bulk, functional PBE.

Final energy   -5.506 eV/atom
Offset from the most stable computed form   7 meV per atom
Size of the total moment   0.0 μB/cell

a b c (Å): 3.8492 15.5749 9.5312
angles (deg): 90.00 90.00 90.00
Closest atoms and distances in Å follow each position.
Space group Imm2 (No. 44)
One atom of each set of equivalent atoms:
Dy1 0.0000 0.0000 0.0000 x2  3 Te 3.19-3.23
Dy2 0.0000 0.3150 0.6197 x4  2 Ni 2.78
Y1 0.0000 0.3535 0.2676 x4  2 Ni 2.86, 2 Te 3.15
Tm1 0.0000 0.1332 0.4169 x4  2 Ni 2.76
Ni1 0.0000 0.2402 0.9288 x4  2 Tm 2.76, 2 Dy 2.78, 2 Y 2.86
Te1 0.0000 0.0000 0.6610 x2  2 Tm 3.12, 4 Y 3.15, 1 Dy 3.23
Te2 0.0000 0.5000 0.7667 x2  4 Tm 3.17, 4 Dy 3.19-3.20

No. 2
A geometry-optimized Dy2Y2Tm3Ni2Te2 structure. Source: OQMD via LeMat-Bulk, functional PBE.

Final energy   -5.482 eV/atom
Offset from the most stable computed form   13 meV per atom
Size of the total moment   0.0 μB/cell

a b c (Å): 3.8199 15.5205 9.5624
angles (deg): 90.00 90.00 90.00
Closest atoms and distances in Å follow each position.
Space group Imm2 (No. 44)
One atom of each set of equivalent atoms:
Dy1 0.0000 0.1325 0.0000 x4  2 Ni 2.78
Y1 0.0000 0.3154 0.2018 x4  2 Ni 2.80
Tm1 0.0000 0.0000 0.5795 x2  3 Te 3.17-3.18
Tm2 0.0000 0.3535 0.8532 x4  2 Ni 2.78
Ni1 0.0000 0.2372 0.5055 x4  2 Dy 2.78, 2 Tm 2.78, 2 Y 2.80
Te1 0.0000 0.0000 0.2470 x2  2 Dy 3.13, 5 Tm 3.14-3.18
Te2 0.0000 0.5000 0.3438 x2  2 Tm 3.17, 2 Y 3.17, 4 Dy 3.18

No. 3
A geometry-optimized Dy2Y2Tm3Ni2Te2 structure. Source: OQMD via LeMat-Bulk, functional PBE.

Final energy   -5.487 eV/atom
Offset from the most stable computed form   8 meV per atom
Size of the total moment   0.0 μB/cell

a b c (Å): 3.8399 15.5633 9.5545
angles (deg): 90.00 90.00 90.00
Closest atoms and distances in Å follow each position.
Space group Imm2 (No. 44)
One atom of each set of equivalent atoms:
Dy1 0.0000 0.1844 0.0000 x4  2 Ni 2.78
Y1 0.0000 0.1463 0.6487 x4  2 Ni 2.84, 2 Te 3.14
Tm1 0.0000 0.3683 0.7985 x4  2 Ni 2.79, 1 Te 3.12
Tm2 0.0000 0.5000 0.3806 x2  3 Te 3.17-3.21
Ni1 0.0000 0.2612 0.3086 x4  2 Dy 2.78, 2 Tm 2.79, 2 Y 2.84
Te1 0.0000 0.0000 0.1450 x2  6 Tm 3.17, 2 Dy 3.19
Te2 0.0000 0.5000 0.0444 x2  3 Tm 3.12-3.21, 4 Y 3.14

No. 4
A geometry-optimized DyY4Tm2Ni2Te2 structure. Source: OQMD via LeMat-Bulk, functional PBE.

Final energy   -5.843 eV/atom
Offset from the most stable computed form   11 meV per atom
Size of the total moment   0.0 μB/cell

a b c (Å): 3.8548 15.5578 9.5693
angles (deg): 90.00 90.00 90.00
Closest atoms and distances in Å follow each position.
Space group Imm2 (No. 44)
One atom of each set of equivalent atoms:
Dy1 0.0000 0.0000 0.0000 x2  3 Te 3.20-3.24
Y1 0.0000 0.3156 0.6211 x4  2 Ni 2.81
Y2 0.0000 0.3536 0.2683 x4  2 Ni 2.86, 2 Te 3.15
Tm1 0.0000 0.1331 0.4176 x4  2 Ni 2.76
Ni1 0.0000 0.2405 0.9275 x4  2 Tm 2.76, 4 Y 2.81-2.86
Te1 0.0000 0.0000 0.6617 x2  2 Tm 3.12, 4 Y 3.15, 1 Dy 3.24
Te2 0.0000 0.5000 0.7665 x2  4 Tm 3.18, 2 Y 3.19, 2 Dy 3.20

No. 5
A geometry-optimized Dy2Y2Tm3Ni2Te2 structure. Source: OQMD via LeMat-Bulk, functional PBE.

Final energy   -5.495 eV/atom
Offset from the most stable computed form   0 meV per atom
Size of the total moment   0.0 μB/cell

a b c (Å): 3.8352 15.5270 9.5246
angles (deg): 90.00 90.00 90.00
Closest atoms and distances in Å follow each position.
Space group Imm2 (No. 44)
One atom of each set of equivalent atoms:
Dy1 0.0000 0.1328 0.0000 x4  2 Ni 2.78
Y1 0.0000 0.3536 0.8521 x4  2 Ni 2.84, 2 Te 3.14
Tm1 0.0000 0.0000 0.5829 x2  3 Te 3.15-3.20
Tm2 0.0000 0.3154 0.2022 x4  2 Ni 2.76
Ni1 0.0000 0.2382 0.5131 x4  2 Tm 2.76, 2 Dy 2.78, 2 Y 2.84
Te1 0.0000 0.0000 0.2470 x2  2 Dy 3.13, 4 Y 3.14, 1 Tm 3.20
Te2 0.0000 0.5000 0.3449 x2  4 Tm 3.15-3.17, 4 Dy 3.18

No. 6
A geometry-optimized Dy5Y2Ni2Te2 structure. Source: OQMD via LeMat-Bulk, functional PBE.

Final energy   -5.528 eV/atom
Offset from the most stable computed form   1 meV per atom
Size of the total moment   0.0 μB/cell

a b c (Å): 3.8522 15.6544 9.5765
angles (deg): 90.00 90.00 90.00
Closest atoms and distances in Å follow each position.
Space group Imm2 (No. 44)
One atom of each set of equivalent atoms:
Dy1 0.0000 0.0000 0.0000 x2  3 Te 3.18-3.21
Dy2 0.0000 0.3153 0.6191 x4  2 Ni 2.78
Dy3 0.0000 0.3533 0.2691 x4  2 Ni 2.84, 2 Te 3.16
Y1 0.0000 0.1311 0.4178 x4  2 Ni 2.82, 1 Te 3.13
Ni1 0.0000 0.2377 0.9280 x4  4 Dy 2.78-2.84, 2 Y 2.82
Te1 0.0000 0.0000 0.6643 x2  2 Y 3.13, 5 Dy 3.16-3.21
Te2 0.0000 0.5000 0.7640 x2  4 Y 3.18, 4 Dy 3.18-3.21

No. 7
A geometry-optimized DyY6Ni2Te2 structure. Source: OQMD via LeMat-Bulk, functional PBE.

Final energy   -6.208 eV/atom
Size of the total moment   0.1 μB/cell

a b c (Å): 3.8687 15.6937 9.6247
angles (deg): 90.00 90.00 90.00
Closest atoms and distances in Å follow each position.
Space group Imm2 (No. 44)
One atom of each set of equivalent atoms:
Dy1 0.0000 0.0000 0.0000 x2  3 Te 3.19-3.23
Y1 0.0000 0.1313 0.4180 x4  2 Ni 2.82, 1 Te 3.14
Y2 0.0000 0.3156 0.6194 x4  2 Ni 2.80
Y3 0.0000 0.3537 0.2679 x4  2 Ni 2.86, 2 Te 3.16
Ni1 0.0000 0.2385 0.9279 x4  6 Y 2.80-2.86
Te1 0.0000 0.0000 0.6641 x2  6 Y 3.14-3.16, 1 Dy 3.23
Te2 0.0000 0.5000 0.7641 x2  6 Y 3.19-3.21, 2 Dy 3.19

No. 8
A geometry-optimized Dy2Y5Ni2Te2 structure. Source: OQMD via LeMat-Bulk, functional PBE.

Final energy   -6.044 eV/atom
Offset from the most stable computed form   0 meV per atom
Size of the total moment   0.1 μB/cell

a b c (Å): 3.8664 15.6575 9.5859
angles (deg): 90.00 90.00 90.00
Closest atoms and distances in Å follow each position.
Space group Imm2 (No. 44)
One atom of each set of equivalent atoms:
Dy1 0.0000 0.1853 0.0000 x4  2 Ni 2.78
Y1 0.0000 0.1459 0.6499 x4  2 Ni 2.86, 2 Te 3.16
Y2 0.0000 0.3691 0.7985 x4  2 Ni 2.83, 1 Te 3.13
Y3 0.0000 0.5000 0.3821 x2  3 Te 3.18-3.23
Ni1 0.0000 0.2624 0.3104 x4  2 Dy 2.78, 4 Y 2.83-2.86
Te1 0.0000 0.0000 0.1450 x2  6 Y 3.18, 2 Dy 3.22
Te2 0.0000 0.5000 0.0454 x2  7 Y 3.13-3.23

No. 9
A geometry-optimized Dy4Y3Ni2Te2 structure. Source: OQMD via LeMat-Bulk, functional PBE.

Final energy   -5.702 eV/atom
Offset from the most stable computed form   1 meV per atom
Size of the total moment   0.0 μB/cell

a b c (Å): 3.8562 15.6631 9.5724
angles (deg): 90.00 90.00 90.00
Closest atoms and distances in Å follow each position.
Space group Imm2 (No. 44)
One atom of each set of equivalent atoms:
Dy1 0.0000 0.1468 0.0000 x4  2 Ni 2.83, 2 Te 3.17
Dy2 0.0000 0.1852 0.3494 x4  2 Ni 2.78
Y1 0.0000 0.3690 0.1480 x4  2 Ni 2.83, 1 Te 3.13
Y2 0.0000 0.5000 0.7306 x2  3 Te 3.18-3.22
Ni1 0.0000 0.2628 0.6582 x4  4 Dy 2.78-2.83, 2 Y 2.83
Te1 0.0000 0.0000 0.4943 x2  6 Y 3.18, 2 Dy 3.22
Te2 0.0000 0.5000 0.3946 x2  3 Y 3.13-3.22, 4 Dy 3.17

No. 10
A geometry-optimized Dy3Y4Ni2Te2 structure. Source: OQMD via LeMat-Bulk, functional PBE.

Final energy   -5.870 eV/atom
Offset from the most stable computed form   0 meV per atom
Size of the total moment   0.0 μB/cell

a b c (Å): 3.8625 15.6717 9.6050
angles (deg): 90.00 90.00 90.00
Closest atoms and distances in Å follow each position.
Space group Imm2 (No. 44)
One atom of each set of equivalent atoms:
Dy1 0.0000 0.0000 0.0000 x2  3 Te 3.19-3.23
Dy2 0.0000 0.3156 0.6193 x4  2 Ni 2.80
Y1 0.0000 0.1313 0.4179 x4  2 Ni 2.81, 1 Te 3.13
Y2 0.0000 0.3537 0.2679 x4  2 Ni 2.86, 2 Te 3.16
Ni1 0.0000 0.2384 0.9280 x4  2 Dy 2.80, 4 Y 2.81-2.86
Te1 0.0000 0.0000 0.6641 x2  6 Y 3.13-3.16, 1 Dy 3.23
Te2 0.0000 0.5000 0.7641 x2  4 Y 3.19, 4 Dy 3.19-3.21

No. 11
A geometry-optimized Dy2Y5Ni2Te2 structure. Source: OQMD via LeMat-Bulk, functional PBE.

Final energy   -6.041 eV/atom
Offset from the most stable computed form   3 meV per atom
Size of the total moment   0.0 μB/cell

a b c (Å): 3.8642 15.6735 9.6124
angles (deg): 90.00 90.00 90.00
Closest atoms and distances in Å follow each position.
Space group Imm2 (No. 44)
One atom of each set of equivalent atoms:
Dy1 0.0000 0.1314 0.0000 x4  2 Ni 2.81, 1 Te 3.14
Y1 0.0000 0.0000 0.5821 x2  3 Te 3.19-3.23
Y2 0.0000 0.3156 0.2015 x4  2 Ni 2.80
Y3 0.0000 0.3537 0.8500 x4  2 Ni 2.86, 2 Te 3.16
Ni1 0.0000 0.2386 0.5099 x4  4 Y 2.80-2.86, 2 Dy 2.81
Te1 0.0000 0.0000 0.2461 x2  2 Dy 3.14, 5 Y 3.16-3.23
Te2 0.0000 0.5000 0.3461 x2  4 Dy 3.19, 4 Y 3.19-3.21

No. 12
A geometry-optimized Dy5Y2Ni2Te2 structure. Source: OQMD via LeMat-Bulk, functional PBE.

Final energy   -5.525 eV/atom
Offset from the most stable computed form   3 meV per atom
Size of the total moment   0.0 μB/cell

a b c (Å): 3.8587 15.6955 9.6159
angles (deg): 90.00 90.00 90.00
Closest atoms and distances in Å follow each position.
Space group Imm2 (No. 44)
One atom of each set of equivalent atoms:
Dy1 0.0000 0.0000 0.0000 x2  3 Te 3.19-3.22
Dy2 0.0000 0.1323 0.4188 x4  2 Ni 2.80
Dy3 0.0000 0.3531 0.2708 x4  2 Ni 2.83
Y1 0.0000 0.3158 0.6214 x4  2 Ni 2.82
Ni1 0.0000 0.2384 0.9264 x4  4 Dy 2.80-2.83, 2 Y 2.82
Te1 0.0000 0.0000 0.6649 x2  7 Dy 3.15-3.22
Te2 0.0000 0.5000 0.7647 x2  6 Dy 3.19-3.20, 2 Y 3.20